LiZnCoMo GGA-PBE optimized geometry; V = 12.38 Å³/atom; E_form = 0.031 eV/atom; crystal system = cubic
1.0
0.000 2.915 2.915
2.915 0.000 2.915
2.915 2.915 0.000
Li Zn Co Mo
1 1 1 1
Cartesian
0.000 0.000 0.000
4.372 4.372 4.372
2.915 2.915 2.915
1.457 1.457 1.457

***

Zr3Nb GGA-PBE optimized geometry; V = 21.80 Å³/atom; E_form = 0.082 eV/atom; crystal system = orthorhombic
1.0
3.608 0.000 0.000
0.000 4.790 0.000
0.000 0.000 5.046
Zr Nb
3 1
Cartesian
0.000 0.000 0.000
0.000 2.395 2.163
1.804 2.395 4.582
1.804 0.000 2.581

***

Ac6SiTe3Pt2 GGA-PBE optimized geometry; V = 35.26 Å³/atom; crystal system = monoclinic; total DFT energy (no corrections) = -5.529 eV per atom
1.0
3.917 -6.787 0.000
3.917 6.787 0.000
-2.649 0.000 7.958
Ac Si Te Pt
6 1 3 2
Cartesian
-0.040 2.304 6.225
1.248 0.000 1.722
-0.040 -2.304 6.225
5.226 2.304 1.733
3.938 0.000 6.237
5.226 -2.304 1.733
3.917 0.000 0.000
-1.324 0.000 3.979
2.593 2.213 3.979
2.593 -2.213 3.979
3.917 4.516 0.000
3.917 -4.516 0.000

***

CsLaAgS2 GGA-PBE optimized geometry; V = 34.60 Å³/atom; crystal system = monoclinic; offset from the most stable computed form = 0.0 meV/atom
1.0
7.996 0.000 0.000
0.000 5.231 0.000
-1.407 0.000 8.272
Cs La Ag S
2 2 2 4
Cartesian
-0.352 0.722 2.068
-1.055 4.509 6.204
2.943 2.580 6.204
3.646 2.652 2.068
3.998 0.000 0.000
3.294 0.000 4.136
0.862 1.862 7.992
1.566 3.370 3.856
5.023 1.862 4.416
5.726 3.370 0.280

***

LiHo2Os GGA-PBE optimized geometry; V = 23.37 Å³/atom; E_form = -0.178 eV/atom; crystal system = tetragonal; offset from the most stable computed form = 77.5 meV/atom
1.0
3.400 0.000 0.000
0.000 3.400 0.000
0.000 0.000 8.089
Li Ho Os
1 2 1
Cartesian
0.000 0.000 0.000
1.700 1.700 2.399
1.700 1.700 5.690
0.000 0.000 4.044

***

Cd3CoNi GGA-PBE optimized geometry; V = 23.08 Å³/atom; E_form = 0.896 eV/atom; crystal system = cubic; offset from the most stable computed form = 93.7 meV/atom
1.0
4.869 0.000 0.000
0.000 4.869 0.000
0.000 0.000 4.869
Cd Co Ni
3 1 1
Cartesian
0.000 0.000 2.434
0.000 2.434 0.000
2.434 0.000 0.000
0.000 0.000 0.000
2.434 2.434 2.434

***

SrAgHg2Mo GGA-PBE optimized geometry; V = 34.79 Å³/atom; E_form = 0.841 eV/atom; crystal system = tetragonal
1.0
5.392 0.000 0.000
0.000 5.392 0.000
0.000 0.000 5.984
Sr Ag Hg Mo
1 1 2 1
Cartesian
0.000 0.000 0.000
2.696 2.696 0.000
0.000 2.696 2.992
2.696 0.000 2.992
0.000 0.000 2.992

***

K2Ru GGA-PBE optimized geometry; V = 29.27 Å³/atom; E_form = 1.240 eV/atom; crystal system = trigonal; offset from the most stable computed form = 628.9 meV/atom
1.0
3.245 0.000 0.000
-1.622 2.810 0.000
0.000 0.000 9.630
K Ru
2 1
Cartesian
0.000 1.873 2.649
1.622 0.937 6.981
0.000 0.000 0.000